ZrCd3: optimized geometry, PBE.

```
ZrCd3
1.0
5.8884 0.0000 0.0000
0.0000 5.8884 0.0000
0.0000 0.0000 5.8884
Cd Zr
3 1
Cartesian
0.0000 0.0000 2.9442
0.0000 2.9442 0.0000
2.9442 0.0000 0.0000
0.0000 0.0000 0.0000
```

* SG: Pm-3m (221)
* formation energy: 0.988 eV/atom

---

ZrCd: optimized geometry, PBE.

```
ZrCd
1.0
-3.8824 -0.0295 0.3076
-1.9632 -7.1283 -0.7432
-1.3845 0.4448 7.2874
Zr Cd
4 4
Cartesian
-3.5188 -4.5605 4.5542
-3.7112 -2.1525 2.2976
-1.7568 -4.4268 2.1214
-5.4733 -2.2862 4.7304
-3.7195 -6.8643 1.8204
-3.5106 0.1513 5.0315
-3.3451 -1.9649 7.0156
-3.8849 -4.7481 -0.1638
```

* SG: Immm (71)
* formation energy: 0.053 eV/atom

---

no.,energy (eV/atom),magnetization (μB/cell)
1,-1.84,2.8
2,-4.68,0.0